Entry 1:
Tb2Dy5Tm4: optimized geometry, PBE-GGA.

abc: 6.555 6.555 9.147
angles: 75.65 75.65 67.23
Sites, in units of the cell vectors:
1 Tb 0.146 0.146 0.878
2 Tb 0.854 0.854 0.122
3 Dy 0.652 0.212 0.777
4 Dy 0.348 0.788 0.223
5 Dy 0.000 0.000 0.500
6 Dy 0.212 0.652 0.777
7 Dy 0.788 0.348 0.223
8 Tm 0.319 0.319 0.498
9 Tm 0.681 0.681 0.502
10 Tm 0.668 0.668 0.878
11 Tm 0.332 0.332 0.122

Spin magnetization (μB per formula unit): 0.000
DFT formation energy (eV per formula unit): 1.6
Symmetry: C2/m
Excess energy over the best structure of this formula in the dataset (meV/atom): 0

Entry 2:
CaNb3Os: optimized geometry, PBE-GGA.

abc: 4.962 4.962 4.962
angles: 90.00 90.00 90.00
Sites, in units of the cell vectors:
1 Nb 0.000 0.500 0.000
2 Nb 0.000 0.000 0.500
3 Nb 0.500 0.000 0.000
4 Os 0.000 0.000 0.000
5 Ca 0.500 0.500 0.500

Spin magnetization (μB per formula unit): 0.000
DFT formation energy (eV per formula unit): 3.9
Symmetry: Pm-3m
Excess energy over the best structure of this formula in the dataset (meV/atom): 0

Entry 3:
CrPt2S: optimized geometry, PBE-GGA.

abc: 4.676 4.676 7.893
angles: 72.77 72.77 90.00
Last column: magnetic moment on the atom in μB.
Sites, in units of the cell vectors:
1 Cr 0.000 0.000 0.000  3.54
2 Cr 0.750 0.250 0.500  3.55
3 S 0.500 0.500 0.000  0.00
4 S 0.250 0.750 0.500  0.00
5 Pt 0.550 0.125 0.250  -0.01
6 Pt 0.200 0.625 0.250  -0.02
7 Pt 0.375 0.450 0.750  -0.03
8 Pt 0.875 0.800 0.750  -0.03

Spin magnetization (μB per formula unit): 3.953
Symmetry: I-42d
Energy relative to the elements, uncorrected (eV per atom): 0.28

Entry 4:
TbPuAlZn: optimized geometry, PBE-GGA.

abc: 5.098 5.098 5.098
angles: 60.00 60.00 60.00
Last column: magnetic moment on the atom in μB.
Sites, in units of the cell vectors:
1 Zn 0.750 0.750 0.750  0.04
2 Tb 0.500 0.500 0.500  0.21
3 Al 0.250 0.250 0.250  -0.03
4 Pu 0.000 0.000 0.000  5.38

Spin magnetization (μB per formula unit): 6.009
DFT formation energy (eV per formula unit): -0.8
Symmetry: F-43m